1.
First-principles (PBE-GGA) data for a geometry-optimized B2PS structure, as listed in Alexandria.

Values from the calculation:
**Crystal system**: tetragonal
**Raw formation energy**: 89 meV per atom
**DFT total energy**: -5.6337 eV per atom
**Space-group type**: No. 122
**Size of the total moment**: 0.00 Bohr magnetons per cell

Structure (CIF):
```
data_B2PS
_chemical_formula_sum 'B4 P2 S2'
_symmetry_space_group_name_H-M 'P 1'
_symmetry_Int_Tables_number 1
_symmetry_space_group_name_Hall 'P 1'
_cell_length_a 5.555
_cell_length_b 5.555
_cell_length_c 5.555
_cell_angle_alpha 131.94
_cell_angle_beta 131.94
_cell_angle_gamma 70.33
loop_
_atom_site_label
_atom_site_fract_x
_atom_site_fract_y
_atom_site_fract_z
B1 0.117 0.625 0.992
B2 0.375 0.367 0.492
B3 0.633 0.125 0.008
B4 0.875 0.883 0.508
P1 0.000 0.000 0.000
P2 0.750 0.250 0.500
S1 0.250 0.750 0.500
S2 0.500 0.500 0.000
```

=====

2.
First-principles (PBE-GGA) data for a geometry-optimized La6P2Se3S structure, as listed in Alexandria.

Values from the calculation:
**Crystal system**: monoclinic
**Raw formation energy**: -1944 meV per atom
**DFT total energy**: -6.5245 eV per atom
**Space-group type**: No. 12
**Size of the total moment**: 0.00 Bohr magnetons per cell

Structure (CIF):
```
data_La6P2Se3S
_chemical_formula_sum 'La6 P2 Se3 S1'
_symmetry_space_group_name_H-M 'P 1'
_symmetry_Int_Tables_number 1
_symmetry_space_group_name_Hall 'P 1'
_cell_length_a 9.590
_cell_length_b 9.590
_cell_length_c 8.600
_cell_angle_alpha 103.68
_cell_angle_beta 103.68
_cell_angle_gamma 25.65
loop_
_atom_site_label
_atom_site_fract_x
_atom_site_fract_y
_atom_site_fract_z
La1 0.004 0.004 0.243
La2 0.329 0.329 0.426
La3 0.336 0.336 0.906
La4 0.664 0.664 0.094
La5 0.671 0.671 0.574
La6 0.996 0.996 0.757
P1 0.166 0.166 0.332
P2 0.834 0.834 0.668
Se1 0.166 0.166 0.834
Se2 0.500 0.500 0.500
Se3 0.834 0.834 0.166
S1 0.500 0.500 0.000
```

=====

3.
First-principles (PBE-GGA) data for a geometry-optimized La2AgBiN structure, as listed in Alexandria.

Values from the calculation:
**Crystal system**: tetragonal
**Raw formation energy**: -767 meV per atom
**DFT total energy**: -5.7493 eV per atom
**Space-group type**: No. 123
**Size of the total moment**: 0.00 Bohr magnetons per cell

Structure (CIF):
```
data_La2AgBiN
_chemical_formula_sum 'La2 Ag1 Bi1 N1'
_symmetry_space_group_name_H-M 'P 1'
_symmetry_Int_Tables_number 1
_symmetry_space_group_name_Hall 'P 1'
_cell_length_a 5.132
_cell_length_b 5.132
_cell_length_c 4.620
_cell_angle_alpha 90.00
_cell_angle_beta 90.00
_cell_angle_gamma 90.00
loop_
_atom_site_label
_atom_site_fract_x
_atom_site_fract_y
_atom_site_fract_z
La1 0.000 0.500 0.000
La2 0.500 0.000 0.000
Ag1 0.000 0.000 0.500
Bi1 0.500 0.500 0.500
N1 0.000 0.000 0.000
```